Compound: RbPuMgTe3
Source: the Alexandria database
Functional: PBE
Structure: optimized geometry

## Properties
D(E_F) = 2.24 states/eV per atom
E_form (uncorrected) = -1017 meV/atom
theoretical density = 5.19 g cm⁻³
total magnetic moment = 5.00 μB/f.u.

a b c (Å): 4.601 9.899 10.916
angles (deg): 108.51 90.00 90.00
Last column: magnetic moment on the atom in μB.
Sites, in units of the cell vectors:
Te  0.250  0.110  0.868  -0.08
Te  0.750  0.212  0.539  -0.02
Te  0.750  0.890  0.132  -0.08
Te  0.250  0.788  0.461  -0.02
Te  0.750  0.470  0.158  -0.12
Te  0.250  0.530  0.842  -0.12
Pu  0.250  0.674  0.139  5.22
Pu  0.750  0.326  0.861  5.22
Rb  0.250  0.214  0.237  0.00
Rb  0.750  0.786  0.763  0.00
Mg  0.250  0.086  0.609  0.00
Mg  0.750  0.914  0.391  0.00

***

Compound: Tm8SiGe3Te3
Source: the Alexandria database
Functional: PBE
Structure: optimized geometry

## Properties
D(E_F) = 0.33 states/eV per atom
E_form (uncorrected) = -941 meV/atom
theoretical density = 7.86 g cm⁻³
total magnetic moment = 0.64 μB/f.u.

a b c (Å): 8.338 8.339 8.456
angles (deg): 119.55 90.00 120.00
Sites, in units of the cell vectors:
Tm  0.763  0.022  0.285
Tm  0.739  0.479  0.718
Tm  0.237  0.475  0.715
Tm  0.741  0.978  0.715
Tm  0.237  0.978  0.715
Tm  0.259  0.022  0.285
Tm  0.261  0.521  0.282
Tm  0.763  0.525  0.285
Ge  0.000  0.500  0.500
Ge  0.500  0.500  0.500
Ge  0.500  0.000  0.500
Si  0.000  0.000  0.500
Te  0.000  0.500  0.000
Te  0.500  0.500  0.000
Te  0.000  0.000  0.000

***

Compound: Be2InOsCl
Source: the Alexandria database
Functional: PBE
Structure: optimized geometry

## Properties
D(E_F) = 0.55 states/eV per atom
E_form (uncorrected) = 1239 meV/atom
theoretical density = 7.58 g cm⁻³
total magnetic moment = 0.00 μB/f.u.

a b c (Å): 4.048 4.791 4.048
angles (deg): 90.00 90.00 90.00
Sites, in units of the cell vectors:
Cl  0.000  0.000  0.000
Be  0.000  0.000  0.500
Be  0.500  0.000  0.000
Os  0.000  0.500  0.000
In  0.500  0.500  0.500

***

Compound: ScNbAs3
Source: the Alexandria database
Functional: PBE
Structure: optimized geometry

## Properties
D(E_F) = 2.10 states/eV per atom
energy above the most stable polymorph in this dataset = 0.683 eV per atom
formation enthalpy at 0 K = 0.737 eV per atom
theoretical density = 5.01 g cm⁻³
total magnetic moment = 0.00 μB/f.u.

a b c (Å): 4.935 4.935 4.935
angles (deg): 90.00 90.00 90.00
Sites, in units of the cell vectors:
Nb  0.500  0.500  0.500
As  0.000  0.500  0.000
As  0.000  0.000  0.500
As  0.500  0.000  0.000
Sc  0.000  0.000  0.000

***

Compound: Li2BSb
Source: the Alexandria database
Functional: PBE
Structure: optimized geometry

## Properties
D(E_F) = 0.03 states/eV per atom
energy above the most stable polymorph in this dataset = 0.021 eV per atom
E_form (uncorrected) = 405 meV/atom
theoretical density = 3.98 g cm⁻³
total magnetic moment = 0.00 μB/f.u.

a b c (Å): 4.420 4.420 4.420
angles (deg): 60.00 60.00 60.00
Sites, in units of the cell vectors:
Sb  0.500  0.500  0.500
Li  0.750  0.750  0.750
Li  0.250  0.250  0.250
B  0.000  0.000  0.000

***

Compound: Cs3PmTl2Br9
Source: the Alexandria database
Functional: PBE
Structure: optimized geometry

## Properties
D(E_F) = 0.23 states/eV per atom
E_form (uncorrected) = -1458 meV/atom
theoretical density = 4.26 g cm⁻³
total magnetic moment = 0.00 μB/f.u.

a b c (Å): 8.496 8.496 10.416
angles (deg): 90.00 90.00 120.00
Sites, in units of the cell vectors:
Br  0.000  0.500  0.000
Br  0.840  0.679  0.657
Br  0.500  0.000  0.000
Br  0.679  0.840  0.343
Br  0.321  0.160  0.657
Br  0.840  0.160  0.657
Br  0.160  0.321  0.343
Br  0.160  0.840  0.343
Br  0.500  0.500  0.000
Cs  0.333  0.667  0.677
Cs  0.000  0.000  0.000
Cs  0.667  0.333  0.323
Tl  0.333  0.667  0.156
Tl  0.667  0.333  0.844
Pm  0.000  0.000  0.500

***

Compound: KMgSc2
Source: the Alexandria database
Functional: PBE
Structure: optimized geometry

## Properties
D(E_F) = 1.17 states/eV per atom
formation enthalpy at 0 K = 0.713 eV per atom
theoretical density = 2.04 g cm⁻³
total magnetic moment = 0.89 μB/f.u.

a b c (Å): 4.534 4.534 12.536
angles (deg): 79.58 79.58 90.00
Last column: magnetic moment on the atom in μB.
Sites, in units of the cell vectors:
Sc  0.875  0.856  0.750  0.30
Sc  0.144  0.625  0.250  0.30
Sc  0.606  0.125  0.250  0.29
Sc  0.375  0.394  0.750  0.30
K  0.750  0.250  0.500  0.00
K  0.000  0.000  0.000  0.00
Mg  0.500  0.500  0.000  0.00
Mg  0.250  0.750  0.500  0.00

***

Compound: HfTeIN2
Source: the Alexandria database
Functional: PBE
Structure: optimized geometry

## Properties
D(E_F) = 0.84 states/eV per atom
energy above the most stable polymorph in this dataset = 0.000 eV per atom
E_form (uncorrected) = 441 meV/atom
theoretical density = 6.79 g cm⁻³
total magnetic moment = 1.24 μB/f.u.

a b c (Å): 4.255 4.255 6.228
angles (deg): 90.00 90.00 90.00
Last column: magnetic moment on the atom in μB.
Sites, in units of the cell vectors:
Hf  0.000  0.000  0.000  -0.06
Te  0.000  0.000  0.500  0.02
I  0.500  0.500  0.500  0.01
N  0.500  0.000  0.000  0.43
N  0.000  0.500  0.000  0.43

***

Compound: Re2MoP
Source: the Alexandria database
Functional: PBE
Structure: optimized geometry

## Properties
D(E_F) = 0.52 states/eV per atom
formation enthalpy at 0 K = -0.122 eV per atom
theoretical density = 14.59 g cm⁻³
total magnetic moment = 0.00 μB/f.u.

a b c (Å): 2.896 2.896 6.778
angles (deg): 90.00 90.00 90.00
Sites, in units of the cell vectors:
Re  0.500  0.500  0.244
Re  0.000  0.000  0.973
Mo  0.000  0.000  0.527
P  0.500  0.500  0.755

***

Compound: Er5Tm2
Source: the Alexandria database
Functional: PBE
Structure: optimized geometry

## Properties
D(E_F) = 1.62 states/eV per atom
energy above the most stable polymorph in this dataset = 0.000 eV per atom
formation enthalpy at 0 K = -0.004 eV per atom
theoretical density = 9.12 g cm⁻³
total magnetic moment = 0.00 μB/f.u.

a b c (Å): 6.179 9.041 8.297
angles (deg): 95.81 111.86 90.00
Sites, in units of the cell vectors:
Er  0.167  0.750  0.000
Er  0.309  0.464  0.285
Er  0.119  0.679  0.571
Er  0.881  0.321  0.429
Er  0.691  0.536  0.715
Er  0.833  0.250  0.000
Er  0.452  0.179  0.571
Er  0.024  0.036  0.715
Er  0.548  0.821  0.429
Er  0.976  0.964  0.285
Tm  0.405  0.107  0.143
Tm  0.262  0.393  0.857
Tm  0.738  0.607  0.143
Tm  0.595  0.893  0.857

***

Compound: K2SrGaSb2
Source: the Alexandria database
Functional: PBE
Structure: optimized geometry

## Properties
D(E_F) = 0.34 states/eV per atom
E_form (uncorrected) = -497 meV/atom
theoretical density = 3.48 g cm⁻³
total magnetic moment = 0.00 μB/f.u.

a b c (Å): 7.414 7.477 9.786
angles (deg): 112.46 112.26 90.00
Sites, in units of the cell vectors:
K  0.100  0.319  0.638
K  0.538  0.819  0.638
K  0.462  0.181  0.362
K  0.900  0.681  0.362
Sb  0.818  0.102  0.203
Sb  0.615  0.398  0.797
Sb  0.182  0.898  0.797
Sb  0.385  0.602  0.203
Sr  0.000  0.250  0.000
Sr  0.000  0.750  0.000
Ga  0.500  0.250  0.000
Ga  0.500  0.750  0.000

***

Compound: Li3PdPb3
Source: the Alexandria database
Functional: PBE
Structure: optimized geometry

## Properties
D(E_F) = 0.24 states/eV per atom
formation enthalpy at 0 K = -0.227 eV per atom
theoretical density = 7.84 g cm⁻³
total magnetic moment = 0.00 μB/f.u.

a b c (Å): 7.017 7.017 6.448
angles (deg): 90.16 90.16 87.51
Sites, in units of the cell vectors:
Pb  0.998  0.503  0.754
Pb  0.002  0.497  0.246
Pb  0.001  0.001  0.242
Pb  0.497  0.002  0.246
Pb  0.999  0.999  0.758
Pb  0.503  0.998  0.754
Li  0.276  0.276  0.508
Li  0.261  0.739  0.500
Li  0.739  0.261  0.500
Li  0.724  0.724  0.492
Li  0.349  0.651  0.000
Li  0.651  0.349  0.000
Pd  0.267  0.267  0.994
Pd  0.733  0.733  0.006

***

Q: Which value of D(E_F) does entry 9 give?
A: 0.52 states/eV per atom